[1]
Below is a geometry-optimized AlCuRu2 structure, with properties calculated at the GGA-PBE level.

The structure in extended XYZ format:
```
4
Lattice="2.779 0.000 0.000 0.000 3.640 0.000 -0.015 0.000 5.392" Properties=species:S:1:pos:R:3 pbc="T T T"
Al 0.000 0.000 0.000
Cu 1.378 1.820 4.160
Ru -0.005 0.000 2.716
Ru 1.384 1.820 1.481
```

As for the crystal system: monoclinic. The value obtained for the calculated density is 8.907 g cm⁻³. As for the formation energy: -0.12 eV/atom. The density of states at the Fermi level comes out at 0.672 states/eV/atom. The value obtained for the total energy is -0.2470 hartree per atom. The space group is No. 6.

[2]
Below is a geometry-optimized Tl2Sn3 structure, with properties calculated at the GGA-PBE level.

The structure in extended XYZ format:
```
10
Lattice="0.000 15.872 1.616 5.689 0.000 1.616 5.689 15.872 0.000" Properties=species:S:1:pos:R:3 pbc="T T T"
Tl 5.824 9.512 1.616
Tl 8.399 17.448 2.424
Tl 5.554 22.233 1.616
Tl 8.669 30.169 2.424
Sn 5.700 12.658 0.357
Sn 5.679 19.086 0.357
Sn 5.689 15.872 0.805
Sn 2.834 4.722 1.165
Sn 2.855 11.150 1.165
Sn 2.845 7.936 1.613
```

Its distance to the lowest polymorph of the same formula is 0 meV/atom. As for the crystal system: orthorhombic. The value obtained for the calculated density is 8.703 g cm⁻³. As for the formation energy: 0.06 eV/atom. The density of states at the Fermi level comes out at 0.565 states/eV/atom. The value obtained for the total energy is -0.1208 hartree per atom. The space group is No. 43.